First-principles (PBE) data for a geometry-optimized TbEr2Tm3 structure, as listed in the Alexandria database.

Unit cell a=3.453 b=8.891 c=12.690 alpha=78.30 beta=82.18 gamma=78.80
Atoms (fractional coordinates):
Er 0.819 0.478 0.884
Er 0.181 0.522 0.116
Er 0.658 0.152 0.532
Er 0.342 0.848 0.468
Tm 0.401 0.173 0.026
Tm 0.740 0.813 0.706
Tm 0.960 0.869 0.211
Tm 0.040 0.131 0.789
Tm 0.599 0.827 0.974
Tm 0.260 0.187 0.294
Tb 0.439 0.477 0.645
Tb 0.561 0.523 0.355

Properties
* VASP energy: -4.41 eV per atom
* space-group type: C2/m (12)